No. 1
Here is a geometry-optimized Ce6AlHg structure from the Alexandria database. Energies are from GGA-PBE.

Cell: 4.705 4.705 9.507 Å, 90.00 90.00 90.00°
Space group P4/mmm (No. 123)
One atom of each set of equivalent atoms:
Ce: 0.000 0.000 0.000 [1 per cell]
Ce: 0.000 0.000 0.500 [1 per cell]
Ce: 0.000 0.500 0.241 [4 per cell]
Al: 0.500 0.500 0.000 [1 per cell]
Hg: 0.500 0.500 0.500 [1 per cell]

Summary:
Magnetization: 5.0 μB per formula unit
N(E_F): 24.85 states/eV/f.u.
E_form: -0.127 eV/atom

No. 2
Here is a geometry-optimized Be6CoAu structure from the Alexandria database. Energies are from GGA-PBE.

Cell: 4.271 4.271 4.271 Å, 90.00 90.00 90.00°
Space group Pm-3 (No. 200)
One atom of each set of equivalent atoms:
Be: 0.000 0.263 0.500 [6 per cell]
Co: 0.500 0.500 0.500 [1 per cell]
Au: 0.000 0.000 0.000 [1 per cell]

Summary:
Magnetization: 0.0 μB per formula unit
N(E_F): 4.98 states/eV/f.u.
E_form: -0.006 eV/atom

No. 3
Here is a geometry-optimized Sb4PAu structure from the Alexandria database. Energies are from GGA-PBE.

Cell: 8.626 8.626 8.626 Å, 90.00 90.00 90.00°
Space group F-43m (No. 216)
One atom of each set of equivalent atoms:
Sb: 0.125 0.125 0.125 [16 per cell]
P: 0.000 0.000 0.500 [4 per cell]
Au: 0.250 0.250 0.750 [4 per cell]

Summary:
Formation energy from raw total energies: 0.76 eV/atom
Magnetization: 0.0 μB per formula unit
N(E_F): 6.23 states/eV/f.u.

No. 4
Here is a geometry-optimized LiScOs3 structure from the Alexandria database. Energies are from GGA-PBE.

Cell: 4.691 4.691 4.691 Å, 90.00 90.00 90.00°
Space group Pm-3m (No. 221)
One atom of each set of equivalent atoms:
Li: 0.000 0.000 0.000 [1 per cell]
Sc: 0.500 0.500 0.500 [1 per cell]
Os: 0.000 0.500 0.500 [3 per cell]

Summary:
Magnetization: 2.2 μB per formula unit
Energy above the lowest structure with this stoichiometry: 122.92 kJ/mol of atoms
N(E_F): 6.17 states/eV/f.u.
E_form: 2.165 eV/atom

No. 5
Here is a geometry-optimized SrNiPCl2 structure from the Alexandria database. Energies are from GGA-PBE.

Cell: 5.450 5.450 6.115 Å, 90.00 90.00 90.00°
Space group P4/mmm (No. 123)
One atom of each set of equivalent atoms:
Sr: 0.000 0.000 0.000 [1 per cell]
Ni: 0.500 0.500 0.500 [1 per cell]
P: 0.000 0.000 0.500 [1 per cell]
Cl: 0.000 0.500 0.000 [2 per cell]

Summary:
Formation energy from raw total energies: 0.14 eV/atom
Magnetization: 3.0 μB per formula unit
Energy above the lowest structure with this stoichiometry: 89.91 kJ/mol of atoms
N(E_F): 5.37 states/eV/f.u.

No. 6
Here is a geometry-optimized LaFeP2S structure from the Alexandria database. Energies are from GGA-PBE.

Cell: 4.304 4.304 5.095 Å, 90.00 90.00 90.00°
Space group P4/mmm (No. 123)
One atom of each set of equivalent atoms:
La: 0.000 0.000 0.000 [1 per cell]
Fe: 0.500 0.500 0.500 [1 per cell]
P: 0.000 0.500 0.500 [2 per cell]
S: 0.500 0.500 0.000 [1 per cell]

Summary:
Formation energy from raw total energies: -0.63 eV/atom
Magnetization: 1.2 μB per formula unit
Energy above the lowest structure with this stoichiometry: 0.00 kJ/mol of atoms
N(E_F): 3.30 states/eV/f.u.